No. 1
6
Lattice="3.539 0.000 0.000 0.000 3.539 0.000 0.000 0.000 11.930" Properties=species:S:1:pos:R:3 comment="LaSc3Cd2 (GGA-PBE, relaxed)" crystal_system=tetragonal e_form_kcal_per_mol_atoms=-3.79 pbc="T T T"
La 0.000 0.000 0.000
Sc 1.769 1.769 2.425
Sc 1.769 1.769 5.965
Sc 1.769 1.769 9.505
Cd 0.000 0.000 4.179
Cd 0.000 0.000 7.752

=====

No. 2
5
Lattice="5.715 0.000 0.000 0.000 5.715 0.000 0.000 0.000 5.715" Properties=species:S:1:pos:R:3 comment="La3ScCd (GGA-PBE, relaxed)" crystal_system=cubic e_form_kcal_per_mol_atoms=10.76 pbc="T T T"
La 0.000 0.000 2.857
La 0.000 2.857 0.000
La 2.857 0.000 0.000
Sc 0.000 0.000 0.000
Cd 2.857 2.857 2.857

=====

No. 3
4
Lattice="1.792 1.035 10.891 -1.792 1.035 10.891 0.000 -2.069 10.891" Properties=species:S:1:pos:R:3 comment="La2ScCd (GGA-PBE, relaxed)" crystal_system=trigonal e_form_kcal_per_mol_atoms=-0.60 pbc="T T T"
La 0.000 0.000 0.000
La 0.000 0.000 7.785
Sc 0.000 0.000 24.579
Cd 0.000 0.000 15.945

=====

No. 4
10
Lattice="7.687 0.000 0.000 0.000 7.687 0.000 0.000 0.000 5.066" Properties=species:S:1:pos:R:3 comment="La2Sc2Cd (GGA-PBE, relaxed)" crystal_system=tetragonal e_form_kcal_per_mol_atoms=0.03 pbc="T T T"
La 1.200 2.644 0.000
La 2.644 6.487 0.000
La 5.044 1.200 0.000
La 6.487 5.044 0.000
Sc 1.121 4.965 2.533
Sc 2.723 1.121 2.533
Sc 4.965 6.566 2.533
Sc 6.566 2.723 2.533
Cd 0.000 0.000 2.533
Cd 3.844 3.844 2.533

=====

No. 5
6
Lattice="0.000 4.325 4.325 4.325 0.000 4.325 4.325 4.325 0.000" Properties=species:S:1:pos:R:3 comment="LaSc4Cd (GGA-PBE, relaxed)" crystal_system=cubic e_form_kcal_per_mol_atoms=4.29 pbc="T T T"
La 0.000 0.000 0.000
Sc 5.407 3.244 3.244
Sc 3.244 5.407 3.244
Sc 3.244 3.244 5.407
Sc 5.407 5.407 5.407
Cd 2.163 2.163 2.163

=====

No. 6
8
Lattice="-4.251 4.251 3.125 4.251 -4.251 3.125 4.251 4.251 -3.125" Properties=species:S:1:pos:R:3 comment="LaScCd2 (GGA-PBE, relaxed)" crystal_system=tetragonal e_form_kcal_per_mol_atoms=1.74 pbc="T T T"
La 0.000 0.000 0.000
La 0.000 4.251 1.563
Sc 4.251 0.000 1.563
Sc 0.000 0.000 3.125
Cd 2.125 2.433 -0.781
Cd 6.069 2.125 0.781
Cd 2.125 1.818 2.344
Cd -1.818 2.125 3.907